VASP calculation (GGA+U) on an optimized crystal structure of ZrCr2ReF.

Output
E_tot (eV/atom): -5.908

```
data_ZrCr2ReF
_cell_length_a 5.5387
_cell_length_b 5.5387
_cell_length_c 4.7375
_cell_angle_alpha 90.00
_cell_angle_beta 90.00
_cell_angle_gamma 90.00
_symmetry_space_group_name_H-M 'P 4/m m m'
_symmetry_Int_Tables_number 123
_symmetry_space_group_name_Hall '-P 4 2'
loop_
_atom_site_label
_atom_site_type_symbol
_atom_site_fract_x
_atom_site_fract_y
_atom_site_fract_z
Zr1 Zr 0.0000 0.0000 0.0000
Cr1 Cr 0.0000 0.5000 0.0000
Re1 Re 0.0000 0.0000 0.5000
F1 F 0.5000 0.5000 0.5000
```